No. 1
DFT (PBE) results for InCuPb after structural relaxation.

Properties
Calculated volume = 288.1 Å³ per cell
Uncorrected energy = -10.046 eV per formula unit
D(E_F) = 0.6088 states/eV per atom

a b c (Å): 6.856 3.416 12.301
angles (deg): 90.00 90.00 90.00
Atoms (fractional coordinates):
In (0.181, 0.250, 0.057)
In (0.319, 0.750, 0.557)
In (0.681, 0.250, 0.443)
In (0.819, 0.750, 0.943)
Cu (0.079, 0.250, 0.841)
Cu (0.421, 0.750, 0.341)
Cu (0.579, 0.250, 0.659)
Cu (0.921, 0.750, 0.159)
Pb (0.086, 0.250, 0.328)
Pb (0.414, 0.750, 0.828)
Pb (0.586, 0.250, 0.172)
Pb (0.914, 0.750, 0.672)


No. 2
DFT (PBE) results for In2CuPb after structural relaxation.

Properties
Calculated volume = 199.6 Å³ per cell
Uncorrected energy = -12.809 eV per formula unit
D(E_F) = 0.4575 states/eV per atom

a b c (Å): 3.312 4.495 13.405
angles (deg): 90.00 90.00 90.00
Atoms (fractional coordinates):
In (0.000, 0.000, 0.000)
In (0.000, 0.500, 0.177)
In (0.500, 0.000, 0.677)
In (0.500, 0.500, 0.500)
Cu (0.000, 0.000, 0.503)
Cu (0.500, 0.500, 0.003)
Pb (0.000, 0.500, 0.817)
Pb (0.500, 0.000, 0.317)


No. 3
DFT (PBE) results for InCuPb after structural relaxation.

Properties
Calculated volume = 143.1 Å³ per cell
Uncorrected energy = -10.242 eV per formula unit
D(E_F) = 0.5020 states/eV per atom

a b c (Å): 3.540 5.122 8.546
angles (deg): 84.34 78.13 70.81
Atoms (fractional coordinates):
In (0.081, 0.196, 0.132)
In (0.919, 0.804, 0.868)
Cu (0.373, 0.638, 0.125)
Cu (0.627, 0.362, 0.875)
Pb (0.301, 0.270, 0.611)
Pb (0.699, 0.730, 0.389)


No. 4
DFT (PBE) results for In2CuPb after structural relaxation.

Properties
Calculated volume = 97.0 Å³ per cell
Uncorrected energy = -12.384 eV per formula unit
D(E_F) = 0.3421 states/eV per atom

a b c (Å): 4.474 4.474 4.848
angles (deg): 90.00 90.00 90.00
Atoms (fractional coordinates):
In (0.000, 0.500, 0.000)
In (0.500, 0.000, 0.000)
Cu (0.000, 0.000, 0.500)
Pb (0.500, 0.500, 0.500)